U2MnCoSe6 | PBE | optimized geometry

Computed properties:
symmetry	C2/m (12)
electronic total energy	-6.76	eV per atom

The structure in POSCAR format:
```
U2MnCoSe6
1.0
5.717 -1.933 0.000
5.717 1.933 0.000
-0.161 0.000 9.377
U Mn Co Se
2 1 1 6
Direct
0.230 0.230 0.243 U
0.770 0.770 0.757 U
0.000 0.000 0.500 Mn
0.000 0.000 0.000 Co
0.081 0.081 0.757 Se
0.355 0.355 0.548 Se
0.364 0.364 0.959 Se
0.636 0.636 0.041 Se
0.645 0.645 0.452 Se
0.919 0.919 0.243 Se
```